# 1
Entry from the Alexandria database: a geometry-optimized Pu2Pa structure (GGA-PBE).

Cell: 3.2132 3.2132 11.7304 Å, 90.00 90.00 90.00°
Last column: nearest neighbours and their distance in Å.
Positions (direct):
Pu 0.0000 0.0000 0.2039  4 Pu 2.52
Pu 0.0000 0.0000 0.7961  4 Pu 2.52
Pu 0.5000 0.5000 0.2961  4 Pu 2.52
Pu 0.5000 0.5000 0.7039  4 Pu 2.52
Pa 0.0000 0.0000 0.5000  4 Pa 3.21, 10 Pu 3.30-3.47
Pa 0.5000 0.5000 0.0000  4 Pa 3.21, 10 Pu 3.30-3.47

Formation energy from the elements in eV/atom: 0.302
Excess energy over the best structure of this formula in the dataset in eV/atom: 0.057


# 2
Entry from the Alexandria database: a geometry-optimized PuPa2 structure (GGA-PBE).

Cell: 3.3352 3.3352 13.0409 Å, 90.00 90.00 90.00°
Last column: nearest neighbours and their distance in Å.
Positions (direct):
Pu 0.0000 0.0000 0.0000  8 Pa 3.18, 4 Pu 3.34
Pu 0.5000 0.5000 0.5000  8 Pa 3.18, 4 Pu 3.34
Pa 0.0000 0.0000 0.3366  4 Pu 3.18, 8 Pa 3.27-3.34
Pa 0.0000 0.0000 0.6634  4 Pu 3.18, 8 Pa 3.27-3.34
Pa 0.5000 0.5000 0.1634  4 Pu 3.18, 8 Pa 3.27-3.34
Pa 0.5000 0.5000 0.8366  4 Pu 3.18, 8 Pa 3.27-3.34

Formation energy from the elements in eV/atom: 0.050
Excess energy over the best structure of this formula in the dataset in eV/atom: 0.000


What is the excess energy over the best structure of this formula in the dataset in the second record? 0.000 eV/atom